PmTa2VO8: optimized geometry, PBE+U.

```
PmTa2VO8
1.0
3.580 -3.370 0.000
3.580 3.370 0.000
-0.093 0.000 6.468
Pm Ta V O
1 2 1 8
direct
0.000 0.000 0.000 Pm
0.478 0.478 0.740 Ta
0.522 0.522 0.260 Ta
0.000 0.000 0.500 V
0.204 0.784 0.280 O
0.216 0.796 0.720 O
0.313 0.313 0.501 O
0.327 0.327 0.989 O
0.673 0.673 0.011 O
0.687 0.687 0.499 O
0.784 0.204 0.280 O
0.796 0.216 0.720 O
```

**Density of states at the Fermi level**: 0.00 states/eV per cell
**Density**: 7.296 g cm⁻³
**E**: -108.837 eV for the cell shown